[1]
MnCuSe2 after structural relaxation. Source: Alexandria, functional GGA-PBE.

a b c (Å): 7.0979 3.6347 12.5365
angles (deg): 90.00 90.00 90.00
Sites, in units of the cell vectors:
Mn  0.8887  0.2500  0.1256
Mn  0.1113  0.7500  0.8744
Mn  0.3887  0.2500  0.3744
Mn  0.6113  0.7500  0.6256
Se  0.4856  0.7500  0.2549
Se  0.0144  0.2500  0.7549
Se  0.2223  0.2500  0.0076
Se  0.9856  0.7500  0.2451
Se  0.2777  0.7500  0.5076
Se  0.7777  0.7500  0.9924
Se  0.7223  0.2500  0.4924
Se  0.5144  0.2500  0.7451
Cu  0.9471  0.7500  0.4331
Cu  0.4471  0.7500  0.0669
Cu  0.0529  0.2500  0.5669
Cu  0.5529  0.2500  0.9331

## Properties
**Symmetry**: No. 62
**Total energy**: -84.2 eV for the cell shown
**Raw formation energy**: -19.9 kJ per mole of atoms


[2]
MnCuSe2 after structural relaxation. Source: Alexandria, functional GGA-PBE.

a b c (Å): 11.3525 4.7744 4.7744
angles (deg): 93.77 128.54 51.46
Sites, in units of the cell vectors:
Se  0.1700  0.7814  0.9778
Se  0.8525  0.7274  0.5796
Se  0.6700  0.5222  0.7186
Se  0.3525  0.9204  0.7726
Cu  0.7295  0.9360  0.9259
Cu  0.2295  0.5741  0.5640
Mn  0.7652  0.3262  0.3368
Mn  0.2652  0.1632  0.1738

## Properties
**Symmetry**: No. 9
**Total energy**: -40.3 eV for the cell shown
**Raw formation energy**: 1.9 kJ per mole of atoms


[3]
MnCuSe after structural relaxation. Source: Alexandria, functional GGA-PBE.

a b c (Å): 4.2012 4.2012 4.2012
angles (deg): 60.00 60.00 60.00
Sites, in units of the cell vectors:
Cu  0.5000  0.5000  0.5000
Mn  0.7500  0.7500  0.7500
Se  0.0000  0.0000  0.0000

## Properties
**Symmetry**: No. 216
**Total energy**: -16.5 eV for the cell shown
**Raw formation energy**: 7.2 kJ per mole of atoms


[4]
Mn2CuSe after structural relaxation. Source: Alexandria, functional GGA-PBE.

a b c (Å): 3.2958 3.3112 6.4108
angles (deg): 58.92 90.00 90.00
Sites, in units of the cell vectors:
Mn  0.0000  0.4939  0.5059
Mn  0.0000  0.0061  0.9941
Se  0.5000  0.2500  0.2500
Cu  0.5000  0.7500  0.7500

## Properties
**Symmetry**: No. 47
**Total energy**: -25.4 eV for the cell shown
**Raw formation energy**: 12.7 kJ per mole of atoms


[5]
MnCu2Se after structural relaxation. Source: Alexandria, functional GGA-PBE.

a b c (Å): 4.7124 4.7124 3.9152
angles (deg): 82.90 82.90 44.53
Sites, in units of the cell vectors:
Mn  0.4894  0.4894  0.4301
Cu  0.7616  0.7616  0.8288
Cu  0.0352  0.0352  0.9015
Se  0.2138  0.2138  0.3397

## Properties
**Symmetry**: No. 8
**Total energy**: -20.3 eV for the cell shown
**Raw formation energy**: 14.3 kJ per mole of atoms


[6]
MnCuSe2 after structural relaxation. Source: Alexandria, functional GGA-PBE.

a b c (Å): 3.9837 3.9837 5.6264
angles (deg): 90.00 90.00 90.00
Sites, in units of the cell vectors:
Se  0.0000  0.5000  0.2578
Se  0.5000  0.0000  0.7422
Mn  0.0000  0.0000  0.0000
Cu  0.5000  0.5000  0.5000

## Properties
**Symmetry**: No. 115
**Total energy**: -21.5 eV for the cell shown
**Raw formation energy**: -30.0 kJ per mole of atoms


[7]
MnCu2Se after structural relaxation. Source: Alexandria, functional GGA-PBE.

a b c (Å): 4.9588 4.9588 3.7050
angles (deg): 68.07 68.07 43.86
Sites, in units of the cell vectors:
Mn  0.7500  0.7500  0.7500
Se  0.2500  0.2500  0.2500
Cu  0.0004  0.0004  0.9996
Cu  0.4996  0.4996  0.5004

## Properties
**Symmetry**: No. 139
**Total energy**: -20.2 eV for the cell shown
**Raw formation energy**: 14.5 kJ per mole of atoms


[8]
MnCuSe2 after structural relaxation. Source: Alexandria, functional GGA-PBE.

a b c (Å): 14.4506 14.4506 4.0471
angles (deg): 90.00 90.00 168.66
Sites, in units of the cell vectors:
Cu  0.2776  0.7224  0.2500
Cu  0.7224  0.2776  0.7500
Se  0.0663  0.9337  0.7500
Se  0.9337  0.0663  0.2500
Se  0.8098  0.1902  0.7500
Se  0.1902  0.8098  0.2500
Mn  0.0241  0.9759  0.2500
Mn  0.9759  0.0241  0.7500

## Properties
**Symmetry**: No. 63
**Total energy**: -39.6 eV for the cell shown
**Raw formation energy**: 10.9 kJ per mole of atoms


[9]
Mn2CuSe after structural relaxation. Source: Alexandria, functional GGA-PBE.

a b c (Å): 4.5492 3.0604 4.7115
angles (deg): 90.00 104.85 90.00
Sites, in units of the cell vectors:
Mn  0.3356  0.0000  0.8325
Mn  0.2314  0.5000  0.3365
Se  0.8830  0.0000  0.0145
Cu  0.7152  0.0000  0.4685

## Properties
**Symmetry**: No. 6
**Total energy**: -24.8 eV for the cell shown
**Raw formation energy**: 27.5 kJ per mole of atoms


[10]
MnCuSe2 after structural relaxation. Source: Alexandria, functional GGA-PBE.

a b c (Å): 6.3987 6.0085 6.3987
angles (deg): 61.25 48.96 61.24
Sites, in units of the cell vectors:
Cu  0.6605  0.3014  0.4353
Cu  0.8846  0.3745  0.6593
Se  0.9023  0.9490  0.6771
Se  0.4111  0.4734  0.1858
Se  0.6427  0.7272  0.4175
Se  0.1339  0.2032  0.9087
Mn  0.5271  0.8382  0.7926
Mn  0.0178  0.8382  0.3019

## Properties
**Symmetry**: No. 12
**Total energy**: -42.3 eV for the cell shown
**Raw formation energy**: -22.2 kJ per mole of atoms


[11]
MnCuSe2 after structural relaxation. Source: Alexandria, functional GGA-PBE.

a b c (Å): 6.6869 6.6869 5.7579
angles (deg): 54.50 54.50 90.00
Sites, in units of the cell vectors:
Se  0.3040  0.1960  0.0000
Se  0.8040  0.3040  0.0000
Se  0.1960  0.6960  0.0000
Se  0.6960  0.8040  0.0000
Mn  0.2500  0.7500  0.5000
Mn  0.7500  0.2500  0.5000
Cu  0.2500  0.2500  0.5000
Cu  0.7500  0.7500  0.5000

## Properties
**Symmetry**: No. 140
**Total energy**: -40.0 eV for the cell shown
**Raw formation energy**: 5.1 kJ per mole of atoms


[12]
Mn2CuSe after structural relaxation. Source: Alexandria, functional GGA-PBE.

a b c (Å): 2.7464 2.8019 15.8473
angles (deg): 90.00 90.20 90.00
Sites, in units of the cell vectors:
Cu  0.0062  0.5000  0.4160
Cu  0.0062  0.0000  0.9160
Se  0.9965  0.5000  0.5760
Se  0.9965  0.0000  0.0760
Mn  0.5025  0.0000  0.3060
Mn  0.5025  0.5000  0.8060
Mn  0.0003  0.5000  0.2066
Mn  0.0003  0.0000  0.7066

## Properties
**Symmetry**: No. 8
**Total energy**: -50.2 eV for the cell shown
**Raw formation energy**: 20.4 kJ per mole of atoms